{
  "formula": "FePAuC2",
  "functional": "GGA-PBE",
  "state": "relaxed",
  "cell": [[-0.269, 3.536, 1.297], [0.218, 0.538, 3.792], [5.129, 0.841, 1.259]],
  "species": ["C", "C", "Au", "Fe", "P"],
  "fractional_positions": [[0.809, 0.983, 0.220], [0.166, 0.664, 0.176], [0.655, 0.670, 0.602], [0.704, 0.555, 0.130], [0.374, 0.298, 0.953]],
  "magmom_total_mub_per_fu": 0.0,
  "relative_energy_mev_per_atom": 241,
  "spacegroup": "P1",
  "dos_at_fermi_per_ev_atom": 0.2152,
  "volume_a3_per_cell": 65.1,
  "dft_energy_ev_per_cell": -32.6
}